Model 1:
Entry from Alexandria: a relaxed Sr2ZnPb2 crystal (PBE).

Unit cell a=12.0482 b=5.0299 c=11.9766 alpha=90.00 beta=117.94 gamma=90.00
Space group C2/m (No. 12)
Asymmetric unit:
Sr (0.0091, 0.0000, 0.3331) x4
Sr (0.1814, 0.0000, 0.1072) x4
Zn (0.2166, 0.5000, 0.3417) x4
Pb (0.0226, 0.5000, 0.8795) x4
Pb (0.1522, 0.5000, 0.5560) x4

Results
For the total magnetization, the calculation gives 0.00 μB/cell. The value obtained for the mass density is 6.8 g/cm3.

Model 2:
Entry from Alexandria: a relaxed Sr2ZnPb2 crystal (PBE).

Unit cell a=9.0997 b=9.0997 c=4.3996 alpha=90.00 beta=90.00 gamma=90.00
Space group P4/mbm (No. 127)
Asymmetric unit:
Sr (0.1789, 0.3211, 0.0000) x4
Zn (0.0000, 0.0000, 0.0000) x2
Pb (0.1191, 0.6191, 0.5000) x4

Results
For the total magnetization, the calculation gives 0.00 μB/cell. The value obtained for the mass density is 6.0 g/cm3.

Model 3:
Entry from Alexandria: a relaxed Sr2ZnPb2 crystal (PBE).

Unit cell a=7.9532 b=7.9532 c=5.1907 alpha=90.00 beta=90.00 gamma=90.00
Space group P4/mbm (No. 127)
Asymmetric unit:
Sr (0.1656, 0.3344, 0.0000) x4
Zn (0.0000, 0.0000, 0.5000) x2
Pb (0.1438, 0.6438, 0.5000) x4

Results
For the total magnetization, the calculation gives 0.00 μB/cell. The value obtained for the mass density is 6.6 g/cm3.

Most stable structure: model 1

Model 1:
Entry from Alexandria: a relaxed SrZr3Pb crystal (PBE).

Unit cell a=5.5458 b=5.5458 c=5.5458 alpha=90.00 beta=90.00 gamma=90.00
Space group Pm-3m (No. 221)
Asymmetric unit:
Sr (0.0000, 0.0000, 0.0000) x1
Zr (0.0000, 0.5000, 0.5000) x3
Pb (0.5000, 0.5000, 0.5000) x1

Results
For the total magnetization, the calculation gives 0.00 μB/cell. The value obtained for the mass density is 5.5 g/cm3.

Model 2:
Entry from Alexandria: a relaxed SrZr3Pb crystal (PBE).

Unit cell a=5.2141 b=5.2141 c=5.2141 alpha=90.00 beta=90.00 gamma=90.00
Space group Pm-3m (No. 221)
Asymmetric unit:
Sr (0.0000, 0.0000, 0.0000) x1
Zr (0.0000, 0.0000, 0.5000) x3
Pb (0.5000, 0.5000, 0.5000) x1

Results
For the total magnetization, the calculation gives 1.47 μB/cell. The value obtained for the mass density is 6.7 g/cm3.

Most stable structure: model 1

Model 1:
Entry from Alexandria: a relaxed Sr3ZrPb crystal (PBE).

Unit cell a=6.0146 b=6.0146 c=6.0146 alpha=90.00 beta=90.00 gamma=90.00
Space group Pm-3m (No. 221)
Asymmetric unit:
Sr (0.0000, 0.0000, 0.5000) x3
Zr (0.0000, 0.0000, 0.0000) x1
Pb (0.5000, 0.5000, 0.5000) x1

Results
For the total magnetization, the calculation gives 0.00 μB/cell. The value obtained for the mass density is 4.3 g/cm3.

Model 2:
Entry from Alexandria: a relaxed Sr3ZrPb crystal (PBE).

Unit cell a=6.3013 b=6.3013 c=6.3013 alpha=90.00 beta=90.00 gamma=90.00
Space group Pm-3m (No. 221)
Asymmetric unit:
Sr (0.0000, 0.0000, 0.5000) x3
Zr (0.5000, 0.5000, 0.5000) x1
Pb (0.0000, 0.0000, 0.0000) x1

Results
For the total magnetization, the calculation gives 3.86 μB/cell. The value obtained for the mass density is 3.7 g/cm3.

Most stable structure: model 2

Model 1:
Entry from Alexandria: a relaxed TaPb crystal (PBE).

Unit cell a=10.9064 b=3.2917 c=5.3516 alpha=90.00 beta=109.74 gamma=90.00
Space group C2/m (No. 12)
Asymmetric unit:
Ta (0.1527, 0.0000, 0.3604) x4
Pb (0.1086, 0.5000, 0.8229) x4

Results
For the total magnetization, the calculation gives 0.00 μB/cell. The value obtained for the mass density is 14.3 g/cm3.

Model 2:
Entry from Alexandria: a relaxed TaPb crystal (PBE).

Unit cell a=3.1402 b=11.4462 c=4.9547 alpha=90.00 beta=90.00 gamma=90.00
Space group Cmcm (No. 63)
Asymmetric unit:
Ta (0.0000, 0.0697, 0.2500) x4
Pb (0.0000, 0.3389, 0.2500) x4

Results
For the total magnetization, the calculation gives 0.00 μB/cell. The value obtained for the mass density is 14.5 g/cm3.

Model 3:
Entry from Alexandria: a relaxed TaPb crystal (PBE).

Unit cell a=5.1270 b=5.1270 c=8.4489 alpha=90.00 beta=90.00 gamma=120.00
Space group P6_3/mmc (No. 194)
Asymmetric unit:
Ta (0.3333, 0.6667, 0.0812) x4
Pb (0.0000, 0.0000, 0.2500) x2
Pb (0.3333, 0.6667, 0.7500) x2

Results
For the total magnetization, the calculation gives 0.01 μB/cell. The value obtained for the mass density is 13.4 g/cm3.

Most stable structure: model 1

Model 1:
Entry from Alexandria: a relaxed TaPb crystal (PBE).

Unit cell a=3.0775 b=5.4486 c=5.1930 alpha=90.00 beta=90.00 gamma=90.00
Space group Pmmn (No. 59, origin choice 2)
Asymmetric unit:
Ta (0.2500, 0.2500, 0.0931) x2
Pb (0.2500, 0.7500, 0.3980) x2

Results
For the total magnetization, the calculation gives 0.00 μB/cell. The value obtained for the mass density is 14.8 g/cm3.

Model 2:
Entry from Alexandria: a relaxed TaPb crystal (PBE).

Unit cell a=4.3016 b=4.3016 c=9.3539 alpha=90.00 beta=90.00 gamma=90.00
Space group I4_1/amd (No. 141, origin choice 2)
Asymmetric unit:
Ta (0.0000, 0.2500, 0.3750) x4
Pb (0.0000, 0.2500, 0.8750) x4

Results
For the total magnetization, the calculation gives 0.00 μB/cell. The value obtained for the mass density is 14.9 g/cm3.

Model 3:
Entry from Alexandria: a relaxed TaPb crystal (PBE).

Unit cell a=10.7348 b=3.4675 c=8.3262 alpha=90.00 beta=112.78 gamma=90.00
Space group C2/m (No. 12)
Asymmetric unit:
Ta (0.0000, 0.0000, 0.0000) x2
Ta (0.1568, 0.5000, 0.8857) x4
Pb (0.0000, 0.0000, 0.5000) x2
Pb (0.1794, 0.5000, 0.2864) x4

Results
For the total magnetization, the calculation gives 0.00 μB/cell. The value obtained for the mass density is 13.5 g/cm3.

Model 4:
Entry from Alexandria: a relaxed TaPb crystal (PBE).

Unit cell a=3.2370 b=3.2370 c=4.7482 alpha=90.00 beta=90.00 gamma=120.00
Space group P-6m2 (No. 187)
Asymmetric unit:
Ta (0.0000, 0.0000, 0.0000) x1
Pb (0.3333, 0.6667, 0.5000) x1

Results
For the total magnetization, the calculation gives 0.00 μB/cell. The value obtained for the mass density is 15.0 g/cm3.

Most stable structure: model 3

Model 1:
Entry from Alexandria: a relaxed TaPb crystal (PBE).

Unit cell a=3.4755 b=3.4755 c=8.4361 alpha=90.00 beta=90.00 gamma=90.00
Space group P4/nmm (No. 129, origin choice 2)
Asymmetric unit:
Ta (0.2500, 0.2500, 0.0754) x2
Pb (0.2500, 0.2500, 0.6914) x2

Results
For the total magnetization, the calculation gives 0.00 μB/cell. The value obtained for the mass density is 12.6 g/cm3.

Model 2:
Entry from Alexandria: a relaxed TaPb crystal (PBE).

Unit cell a=3.5318 b=5.0616 c=11.0297 alpha=90.00 beta=90.00 gamma=90.00
Space group Cmme (No. 67)
Asymmetric unit:
Ta (0.0000, 0.2500, 0.0951) x4
Pb (0.0000, 0.2500, 0.6715) x4

Results
For the total magnetization, the calculation gives 0.00 μB/cell. The value obtained for the mass density is 13.1 g/cm3.

Most stable structure: model 2